1.
Compound: BaCu4S3
Source: Alexandria via LeMat-Bulk
Functional: GGA-PBE
Structure: relaxed

abc: 4.0335 10.4038 14.2226
angles: 90.00 90.00 90.00
With the nearest neighbours (Å) after each atom.
Fractional coordinates of all 32 atoms:
Cu  0.2500  0.9357  0.2526  2 S 2.21-2.34
S  0.2500  0.2467  0.6846  4 Cu 2.31-2.34
Cu  0.7500  0.5643  0.7526  2 S 2.21-2.34
Cu  0.2500  0.9670  0.8501  3 S 2.31-2.34
Ba  0.2500  0.2437  0.9991  7 S 3.17-3.36
Cu  0.7500  0.3152  0.7505  3 S 2.34-2.35, 2 Cu 2.59-2.61
Cu  0.7500  0.5330  0.3501  3 S 2.31-2.34
S  0.2500  0.5614  0.1111  4 Cu 2.28-2.35
S  0.7500  0.4386  0.8889  4 Cu 2.28-2.35
Cu  0.2500  0.1848  0.2505  3 S 2.34-2.35, 2 Cu 2.59-2.61
Cu  0.2500  0.0332  0.6393  3 S 2.28-2.31
S  0.7500  0.2533  0.1846  4 Cu 2.31-2.34
Cu  0.7500  0.9668  0.3607  3 S 2.28-2.31
S  0.7500  0.0496  0.9024  3 Cu 2.21-2.31
S  0.2500  0.4504  0.4024  3 Cu 2.21-2.31
Cu  0.2500  0.6848  0.2495  3 S 2.34-2.35, 2 Cu 2.59-2.61
Cu  0.2500  0.4670  0.6499  3 S 2.31-2.34
Cu  0.2500  0.4357  0.2474  2 S 2.21-2.34
S  0.2500  0.7467  0.8154  4 Cu 2.31-2.34
Cu  0.7500  0.8152  0.7495  3 S 2.34-2.35, 2 Cu 2.59-2.61
S  0.7500  0.9386  0.6111  4 Cu 2.28-2.35
Cu  0.2500  0.5332  0.8607  3 S 2.28-2.31
S  0.7500  0.5496  0.5976  3 Cu 2.21-2.31
S  0.7500  0.7533  0.3154  4 Cu 2.31-2.34
Ba  0.2500  0.7437  0.5009  7 S 3.17-3.36
Cu  0.7500  0.4668  0.1393  3 S 2.28-2.31
Cu  0.7500  0.0643  0.7474  2 S 2.21-2.34
Ba  0.7500  0.2563  0.4991  7 S 3.17-3.36
Cu  0.7500  0.0330  0.1499  3 S 2.31-2.34
S  0.2500  0.0614  0.3889  4 Cu 2.28-2.35
Ba  0.7500  0.7563  0.0009  7 S 3.17-3.36
S  0.2500  0.9504  0.0976  3 Cu 2.21-2.31

Calculated values
Space group: Pnma (62)
Uncorrected formation energy, meV per atom: -645

***

2.
Compound: ZnSiOs
Source: Alexandria via LeMat-Bulk
Functional: GGA-PBE
Structure: relaxed

abc: 2.8613 2.8613 6.1089
angles: 90.00 90.00 120.00
With the nearest neighbours (Å) after each atom.
Fractional coordinates of all 3 atoms:
Si  0.6667  0.3333  0.3139  3 Os 2.44, 3 Zn 2.71
Zn  0.3333  0.6667  0.6660  3 Si 2.71, 3 Os 2.72, 6 Zn 2.86
Os  0.0000  0.0000  0.0201  3 Si 2.44, 3 Zn 2.72

Calculated values
Space group: P3m1 (156)
Uncorrected formation energy, meV per atom: 90
DOS(E_F), states/eV per cell: 3.07

***

3.
Compound: Tb2As7Ru12
Source: Alexandria via LeMat-Bulk
Functional: GGA-PBE
Structure: relaxed

abc: 4.0235 9.7638 9.7638
angles: 120.00 90.00 90.00
With the nearest neighbours (Å) after each atom.
Fractional coordinates of all 21 atoms:
Tb  0.5000  0.0000  0.0000  6 As 3.04, 9 Ru 3.22-3.36
Ru  0.5000  0.3849  0.2795  4 As 2.43-2.52
Ru  0.5000  0.2402  0.7839  3 As 2.50-2.69
As  0.5000  0.9309  0.3800  7 Ru 2.43-2.55
Ru  0.0000  0.2726  0.0322  4 As 2.39-2.55
Ru  0.0000  0.9678  0.2403  4 As 2.39-2.55
As  0.5000  0.6200  0.5510  7 Ru 2.43-2.55
Ru  0.0000  0.4928  0.9415  4 As 2.33-2.51
Ru  0.0000  0.7597  0.7274  4 As 2.39-2.55
Ru  0.0000  0.4487  0.5072  4 As 2.33-2.51
Ru  0.5000  0.8945  0.6151  4 As 2.43-2.52
As  0.0000  0.3333  0.6667  3 Ru 2.33
As  0.0000  0.7525  0.9683  5 Ru 2.39-2.52
As  0.0000  0.0317  0.7842  5 Ru 2.39-2.52
Ru  0.5000  0.5437  0.7598  3 As 2.50-2.69
As  0.0000  0.2158  0.2475  5 Ru 2.39-2.52
Ru  0.5000  0.2161  0.4563  3 As 2.50-2.69
Ru  0.5000  0.7205  0.1055  4 As 2.43-2.52
Ru  0.0000  0.0585  0.5513  4 As 2.33-2.51
Tb  0.0000  0.6667  0.3333  6 As 3.12, 12 Ru 3.23-3.48
As  0.5000  0.4490  0.0691  7 Ru 2.43-2.55

Calculated values
Space group: P-6 (174)
DOS(E_F), states/eV per cell: 13.00
Energy relative to the elements, eV/atom: -0.4256

***

Calculated total energy, -4.481, -5.885, -7.717 eV per atom (same order as the records).
Calculated magnetization, 0.00, 0.00, 0.00 Bohr magnetons per cell (same order as the records).